(a)
Crystalline Tb3Sm6Tm at its relaxed geometry, computed with PBE.

## Properties
* DOS(E_F): 33.42 states/eV/cell
* total magnetic moment: 0.00 μB/atom
* calculated volume: 33.19 A^3/atom
* SG: Cmc2_1, No. 36

a b c (Å): 11.687 11.687 6.407
angles (deg): 90.00 90.00 130.67
Element x y z (fractional)
Tb  0.079  0.921  0.500
Tb  0.206  0.459  0.098
Tb  0.459  0.206  0.598
Tb  0.541  0.794  0.098
Tb  0.794  0.541  0.598
Tb  0.921  0.079  0.000
Sm  0.044  0.606  0.264
Sm  0.121  0.242  0.521
Sm  0.199  0.801  0.793
Sm  0.242  0.121  0.021
Sm  0.394  0.956  0.264
Sm  0.484  0.516  0.766
Sm  0.516  0.484  0.266
Sm  0.606  0.044  0.764
Sm  0.758  0.879  0.521
Sm  0.801  0.199  0.293
Sm  0.879  0.758  0.021
Sm  0.956  0.394  0.764
Tm  0.341  0.659  0.570
Tm  0.659  0.341  0.070


(b)
Crystalline Tb3Sm6Tm at its relaxed geometry, computed with PBE.

## Properties
* DOS(E_F): 27.19 states/eV/cell
* total magnetic moment: 0.00 μB/atom
* calculated volume: 33.27 A^3/atom
* SG: Cmc2_1, No. 36

a b c (Å): 11.059 11.059 6.311
angles (deg): 90.00 90.00 120.46
Element x y z (fractional)
Tb  0.113  0.887  0.500
Tb  0.218  0.444  0.110
Tb  0.444  0.218  0.610
Tb  0.556  0.782  0.110
Tb  0.782  0.556  0.610
Tb  0.887  0.113  0.000
Sm  0.024  0.445  0.715
Sm  0.124  0.212  0.528
Sm  0.212  0.124  0.028
Sm  0.223  0.777  0.927
Sm  0.445  0.024  0.215
Sm  0.460  0.540  0.678
Sm  0.540  0.460  0.178
Sm  0.555  0.976  0.715
Sm  0.777  0.223  0.427
Sm  0.788  0.876  0.528
Sm  0.876  0.788  0.028
Sm  0.976  0.555  0.215
Tm  0.302  0.698  0.454
Tm  0.698  0.302  0.954


Which one sits at the bottom of the stability order? (b) does.